Entry 1:
A plane-wave DFT calculation with PBE was carried out for an optimized crystal structure of PmDyLu.

As for the energy above the lowest structure with this stoichiometry: 0.000 eV per atom. Its magnetization is 0.1 μB per cell. The formation energy comes out at 703 meV per atom.

The structure belongs to space group F-43m (No. 216); the cell edges are 7.631, 7.631 and 7.631 Å and the angles 90.00°, 90.00° and 90.00°. Symmetry generates all atoms from Pm at (0.000, 0.000, 0.000), Dy at (0.000, 0.000, 0.500) and Lu at (0.250, 0.250, 0.750).


Entry 2:
A plane-wave DFT calculation with PBE was carried out for an optimized crystal structure of SrFeHgS3.

As for the energy above the lowest structure with this stoichiometry: 0.000 eV per atom. Its magnetization is 16.0 μB per cell.

The structure belongs to space group Cmcm (No. 63); the cell edges are 3.949, 12.603 and 11.114 Å and the angles 90.00°, 90.00° and 90.00°. Symmetry generates all atoms from Sr at (0.000, 0.247, 0.250), Fe at (0.000, 0.033, 0.750), Hg at (0.000, 0.500, 0.000), S at (0.000, 0.136, 0.581) and S at (0.000, 0.429, 0.750).


Entry 3:
A plane-wave DFT calculation with PBE was carried out for an optimized crystal structure of Zn2Co3Cu3.

As for the energy above the lowest structure with this stoichiometry: 0.008 eV per atom. Its magnetization is 4.1 μB per cell. The formation energy comes out at 49 meV per atom.

The structure belongs to space group P-6m2 (No. 187); the cell edges are 5.0721, 5.0721 and 4.2690 Å and the angles 90.00°, 90.00° and 120.00°. Symmetry generates all atoms from Zn at (0.0000, 0.0000, 0.0000), Zn at (0.3333, 0.6667, 0.5000), Co at (0.5003, 0.0006, 0.0000) and Cu at (0.3387, 0.1694, 0.5000).


Entry 4:
A plane-wave DFT calculation with PBE was carried out for an optimized crystal structure of USnHg.

As for the energy above the lowest structure with this stoichiometry: 0.000 eV per atom. Its magnetization is 12.7 μB per cell.

The structure belongs to space group F-43m (No. 216); the cell edges are 7.024, 7.024 and 7.024 Å and the angles 90.00°, 90.00° and 90.00°. Symmetry generates all atoms from U at (0.000, 0.000, 0.000), Sn at (0.000, 0.000, 0.500) and Hg at (0.250, 0.250, 0.750).


Entry 5:
A plane-wave DFT calculation with PBE was carried out for an optimized crystal structure of PrGa2Ni.

Its magnetization is 0.0 μB per cell. The calculation puts the total energy at -75.65 eV per cell.

The structure belongs to space group Cmmm (No. 65); the cell edges are 4.226, 17.589 and 4.186 Å and the angles 90.00°, 90.00° and 90.00°. Symmetry generates all atoms from Pr at (0.000, 0.141, 0.000), Ga at (0.000, 0.000, 0.500), Ga at (0.000, 0.291, 0.500), Ga at (0.000, 0.500, 0.000) and Ni at (0.000, 0.427, 0.500).


Entry 6:
A plane-wave DFT calculation with PBE was carried out for an optimized crystal structure of PmCdAg4.

Its magnetization is 0.0 μB per cell. The formation energy comes out at -230 meV per atom.

The structure belongs to space group F-43m (No. 216); the cell edges are 7.956, 7.956 and 7.956 Å and the angles 90.00°, 90.00° and 90.00°. Symmetry generates all atoms from Pm at (0.000, 0.000, 0.000), Cd at (0.250, 0.250, 0.750) and Ag at (0.125, 0.125, 0.375).


Entry 7:
A plane-wave DFT calculation with PBE was carried out for an optimized crystal structure of B2Pt2Pb.

Its magnetization is 0.0 μB per cell. The calculation puts the total energy at -59.06 eV per cell.

The structure belongs to space group I4/mmm (No. 139); the cell edges are 3.275, 3.275 and 14.424 Å and the angles 90.00°, 90.00° and 90.00°. Symmetry generates all atoms from B at (0.000, 0.500, 0.250), Pt at (0.000, 0.000, 0.156) and Pb at (0.000, 0.000, 0.500).


Entry 8:
A plane-wave DFT calculation with PBE was carried out for an optimized crystal structure of Hf3Co2As4Pd2.

Its magnetization is 0.5 μB per cell. The calculation puts the total energy at -81.16 eV per cell.

The structure belongs to space group Pm (No. 6); the cell edges are 6.491, 3.899 and 7.398 Å and the angles 90.00°, 91.82° and 90.00°. Symmetry generates all atoms from Hf at (0.000, 0.000, 0.000), Hf at (0.060, 0.500, 0.613), Hf at (0.547, 0.500, 0.477), Co at (0.150, 0.500, 0.253), Co at (0.896, 0.000, 0.359), As at (0.273, 0.000, 0.380), As at (0.286, 0.500, 0.954), As at (0.776, 0.000, 0.662), As at (0.786, 0.500, 0.196), Pd at (0.364, 0.000, 0.737) and Pd at (0.675, 0.500, 0.870).


Entry 9:
A plane-wave DFT calculation with PBE was carried out for an optimized crystal structure of Er2HgC4.

Its magnetization is 0.0 μB per cell. The calculation puts the total energy at -184.65 eV per cell.

The structure belongs to space group Ibam (No. 72); the cell edges are 8.594, 10.525 and 5.154 Å and the angles 90.00°, 90.00° and 90.00°. Symmetry generates all atoms from Er at (0.154, 0.134, 0.000), Hg at (0.000, 0.500, 0.250), C at (0.137, 0.212, 0.500) and C at (0.142, 0.088, 0.500).


Entry 10:
A plane-wave DFT calculation with PBE was carried out for an optimized crystal structure of TmUSn.

Its magnetization is 18.7 μB per cell. The calculation puts the total energy at -70.93 eV per cell.

The structure belongs to space group F-43m (No. 216); the cell edges are 7.165, 7.165 and 7.165 Å and the angles 90.00°, 90.00° and 90.00°. Symmetry generates all atoms from Tm at (0.000, 0.000, 0.000), U at (0.250, 0.250, 0.250) and Sn at (0.250, 0.250, 0.750).


Entry 11:
A plane-wave DFT calculation with PBE was carried out for an optimized crystal structure of Ba2NbMo.

Its magnetization is 0.0 μB per cell. The calculation puts the total energy at -78.16 eV per cell.

The structure belongs to space group F-43m (No. 216); the cell edges are 7.555, 7.555 and 7.555 Å and the angles 90.00°, 90.00° and 90.00°. Symmetry generates all atoms from Ba at (0.000, 0.000, 0.000), Ba at (0.250, 0.250, 0.250), Nb at (0.000, 0.000, 0.500) and Mo at (0.250, 0.250, 0.750).


Entry 12:
A plane-wave DFT calculation with PBE was carried out for an optimized crystal structure of Gd3Er2Mg3.

As for the energy above the lowest structure with this stoichiometry: 0.058 eV per atom. Its magnetization is 0.1 μB per cell.

The structure belongs to space group P-6m2 (No. 187); the cell edges are 6.9062, 6.9062 and 5.5958 Å and the angles 90.00°, 90.00° and 120.00°. Symmetry generates all atoms from Gd at (0.0031, 0.5016, 0.0000), Er at (0.0000, 0.0000, 0.0000), Er at (0.3333, 0.6667, 0.5000) and Mg at (0.3405, 0.1702, 0.5000).


Entry 13:
A plane-wave DFT calculation with PBE was carried out for an optimized crystal structure of NbCoNiGe.

As for the energy above the lowest structure with this stoichiometry: 0.000 eV per atom. Its magnetization is 0.4 μB per cell.

The structure belongs to space group F-43m (No. 216); the cell edges are 5.969, 5.969 and 5.969 Å and the angles 90.00°, 90.00° and 90.00°. Symmetry generates all atoms from Nb at (0.000, 0.000, 0.000), Co at (0.250, 0.250, 0.750), Ni at (0.250, 0.250, 0.250) and Ge at (0.000, 0.000, 0.500).


Entry 14:
A plane-wave DFT calculation with PBE was carried out for an optimized crystal structure of Y4AlZnC2.

Its magnetization is 1.1 μB per cell. The calculation puts the total energy at -51.20 eV per cell.

The structure belongs to space group P-6m2 (No. 187); the cell edges are 3.6057, 3.6057 and 15.3921 Å and the angles 90.00°, 90.00° and 120.00°. Symmetry generates all atoms from Y at (0.0000, 0.0000, 0.1577), Y at (0.6667, 0.3333, 0.3345), Al at (0.0000, 0.0000, 0.5000), Zn at (0.6667, 0.3333, 0.0000) and C at (0.3333, 0.6667, 0.2434).


Entry 15:
A plane-wave DFT calculation with PBE was carried out for an optimized crystal structure of TbGdSi2.

Its magnetization is 0.0 μB per cell. The calculation puts the total energy at -46.89 eV per cell.

The structure belongs to space group Pmc2_1 (No. 26); the cell edges are 3.861, 5.745 and 7.971 Å and the angles 90.00°, 90.00° and 90.00°. Symmetry generates all atoms from Tb at (0.000, 0.135, 0.000), Gd at (0.500, 0.365, 0.358), Si at (0.000, 0.378, 0.641) and Si at (0.500, 0.121, 0.717).


Entry 16:
A plane-wave DFT calculation with PBE was carried out for an optimized crystal structure of LaBiAu2.

Its magnetization is 0.5 μB per cell. The calculation puts the total energy at -32.98 eV per cell.

The structure belongs to space group P6_3/mmc (No. 194); the cell edges are 5.4632, 5.4632 and 8.5254 Å and the angles 90.00°, 90.00° and 120.00°. Symmetry generates all atoms from La at (0.0000, 0.0000, 0.2500), Bi at (0.3333, 0.6667, 0.2500) and Au at (0.3333, 0.6667, 0.5891).


Entry 17:
A plane-wave DFT calculation with PBE was carried out for an optimized crystal structure of LuCu2B.

Its magnetization is 0.0 μB per cell. The calculation puts the total energy at -71.98 eV per cell.

The structure belongs to space group F-43m (No. 216); the cell edges are 6.023, 6.023 and 6.023 Å and the angles 90.00°, 90.00° and 90.00°. Symmetry generates all atoms from Lu at (0.000, 0.000, 0.000), Cu at (0.000, 0.000, 0.500), Cu at (0.250, 0.250, 0.250) and B at (0.250, 0.250, 0.750).


Entry 18:
A plane-wave DFT calculation with PBE was carried out for an optimized crystal structure of Dy2TmLu5.

Its magnetization is 0.1 μB per cell. The formation energy comes out at 0 meV per atom.

The structure belongs to space group Amm2 (No. 38); the cell edges are 5.507, 7.066 and 12.239 Å and the angles 90.00°, 90.00° and 90.00°. Symmetry generates all atoms from Dy at (0.000, 0.000, 0.000), Dy at (0.500, 0.000, 0.333), Tm at (0.500, 0.000, 0.833), Lu at (0.000, 0.000, 0.500), Lu at (0.000, 0.249, 0.750) and Lu at (0.500, 0.249, 0.584).


Entry 19:
A plane-wave DFT calculation with PBE was carried out for an optimized crystal structure of Lu2ReB2.

Its magnetization is 0.0 μB per cell. The calculation puts the total energy at -143.67 eV per cell.

The structure belongs to space group Pnma (No. 62); the cell edges are 6.792, 5.069 and 9.968 Å and the angles 90.00°, 90.00° and 90.00°. Symmetry generates all atoms from Lu at (0.032, 0.250, 0.219), Lu at (0.183, 0.250, 0.551), Re at (0.220, 0.250, 0.868), B at (0.050, 0.750, 0.238) and B at (0.177, 0.750, 0.557).


Entry 20:
A plane-wave DFT calculation with PBE was carried out for an optimized crystal structure of AlW8.

Its magnetization is 0.0 μB per cell. The calculation puts the total energy at -96.39 eV per cell.

The structure belongs to space group P6/mmm (No. 191); the cell edges are 8.8904, 8.8904 and 2.6628 Å and the angles 90.00°, 90.00° and 120.00°. Symmetry generates all atoms from Al at (0.0000, 0.0000, 0.0000), W at (0.1675, 0.3350, 0.5000) and W at (0.3333, 0.6667, 0.5000).